<a>
This record from Alexandria describes a relaxed Nd4YTm2 crystal. The functional is GGA-PBE.

Results
total magnetization	0.000	μB per cell
symmetry	Imma (74)

Geometry as POSCAR:
```
Nd4YTm2
1.0
6.8911 0.0000 0.0000
3.4455 8.2600 -1.1284
3.4455 1.6219 8.1774
Nd Y Tm
8 2 4
direct
0.8510 0.1522 0.1458
0.1490 0.3542 0.3478
0.8510 0.6458 0.6522
0.2101 0.7604 0.2604
0.7690 0.7604 0.2604
0.7899 0.2396 0.7396
0.1490 0.8478 0.8542
0.2310 0.2396 0.7396
0.5000 0.5000 0.0000
0.0000 0.5000 0.0000
0.5000 0.5000 0.5000
0.2824 0.9676 0.4676
0.7176 0.0324 0.5324
0.5000 0.0000 0.0000
```

<b>
This record from Alexandria describes a relaxed Nd4YTm2 crystal. The functional is GGA-PBE.

Results
total magnetization	0.000	μB per cell
symmetry	Fdd2 (43)

Geometry as POSCAR:
```
Nd4YTm2
1.0
-8.8057 -2.5614 8.6052
3.2546 2.3334 -11.9212
3.5717 -5.7483 0.7278
Tm Nd Y
4 8 2
direct
0.9197 0.1021 0.0500
0.3021 0.6197 0.9505
0.6197 0.3021 0.4505
0.1021 0.9197 0.5500
0.1492 0.0409 0.1054
0.7940 0.1856 0.3949
0.1747 0.7124 0.3609
0.1856 0.7940 0.8949
0.7124 0.1747 0.8609
0.5637 0.6015 0.1395
0.0409 0.1492 0.6054
0.6015 0.5637 0.6395
0.4228 0.6728 0.5004
0.6728 0.4228 0.0004
```

Most stable: <b>

<a>
This record from Alexandria describes a relaxed Nd2Y5Tm5 crystal. The functional is GGA-PBE.

Results
total magnetization	0.000	μB per cell
symmetry	C2/m (12)

Geometry as POSCAR:
```
Nd2Y5Tm5
1.0
4.9107 0.0000 1.0702
2.0389 7.2868 2.4458
0.2480 -0.1735 10.6635
Tm Y Nd
5 5 2
direct
0.0000 0.0000 0.0000
0.7508 0.2474 0.2509
0.1685 0.1636 0.4995
0.8315 0.8364 0.5005
0.2492 0.7526 0.7491
0.5850 0.0807 0.7493
0.5000 0.5000 0.5000
0.6660 0.6678 0.0001
0.4150 0.9193 0.2507
0.3340 0.3322 0.9999
0.0834 0.5814 0.2518
0.9166 0.4186 0.7482
```

<b>
This record from Alexandria describes a relaxed Nd2Y5Tm5 crystal. The functional is GGA-PBE.

Results
total magnetization	0.000	μB per cell
symmetry	C2/m (12)

Geometry as POSCAR:
```
Nd2Y5Tm5
1.0
5.6140 0.0000 0.0000
-2.8070 8.5127 -0.4933
0.0000 -5.0168 8.2783
Y Nd Tm
5 2 5
direct
0.7502 0.5004 0.7461
0.2498 0.4996 0.2539
0.0000 0.0000 0.0000
0.8745 0.7491 0.5393
0.1255 0.2509 0.4607
0.1244 0.2488 0.7935
0.8756 0.7512 0.2065
0.6242 0.2483 0.2887
0.6241 0.2482 0.9556
0.5000 0.0000 0.5000
0.3758 0.7517 0.7113
0.3759 0.7518 0.0444
```

Most stable: <a>